Arrangement i

Compound: Dy2Er6Tm3
Source: Alexandria
Functional: PBE
Structure: optimized geometry

Summary:
V: 1018.9 Å³ per cell
total magnetization: 0.000 μB/atom

The structure in CIF format:
```
data_Dy2Er6Tm3
_chemical_formula_sum 'Dy6 Er18 Tm9'
_cell_length_a 5.5674
_cell_length_b 5.5674
_cell_length_c 37.9561
_cell_angle_alpha 90.00
_cell_angle_beta 90.00
_cell_angle_gamma 120.00
_symmetry_space_group_name_H-M 'R -3 m'
_symmetry_Int_Tables_number 166
_symmetry_space_group_name_Hall '-R 3 2"'
loop_
_atom_site_label
_atom_site_fract_x
_atom_site_fract_y
_atom_site_fract_z
Dy1 0.0000 0.0000 0.0456
Er1 0.0000 0.0000 0.1388
Er2 0.0000 0.0000 0.3286
Er3 0.0000 0.0000 0.4175
Tm1 0.0000 0.0000 0.2342
Tm2 0.0000 0.0000 0.5000
```

Arrangement ii

Compound: Dy2Er6Tm3
Source: Alexandria
Functional: PBE
Structure: optimized geometry

Summary:
V: 710.2 Å³ per cell
total magnetization: 0.000 μB/atom

The structure in CIF format:
```
data_Dy2Er6Tm3
_chemical_formula_sum 'Dy4 Er12 Tm6'
_cell_length_a 4.658
_cell_length_b 4.658
_cell_length_c 32.727
_cell_angle_alpha 90.00
_cell_angle_beta 90.00
_cell_angle_gamma 90.00
_symmetry_space_group_name_H-M 'I 4/m m m'
_symmetry_Int_Tables_number 139
_symmetry_space_group_name_Hall '-I 4 2'
loop_
_atom_site_label
_atom_site_fract_x
_atom_site_fract_y
_atom_site_fract_z
Dy1 0.000 0.000 0.046
Er1 0.000 0.000 0.196
Er2 0.000 0.500 0.122
Tm1 0.000 0.000 0.300
Tm2 0.000 0.000 0.500
```

Tell me which of them is the most stable. Sure, it is arrangement i.